Entry 1:
Material: CePrBiSb
Method: DFT, GGA-PBE
State: optimized geometry

Lattice parameters (Å, degrees): 4.572 4.572 7.931 73.25 73.25 60.00
Fractional coordinates of all 4 atoms:
Ce: 0.192 0.192 0.423
Pr: 0.696 0.696 0.912
Bi: 0.942 0.942 0.173
Sb: 0.446 0.446 0.663

Computed properties:
As for the theoretical density: 7.50 g cm⁻³. The space group is R3m (160). The total energy comes out at -5.68 eV/atom. Its raw formation energy is -1001 meV/atom.

=====

Entry 2:
Material: Ca2CePrTe4
Method: DFT, GGA-PBE
State: optimized geometry

Lattice parameters (Å, degrees): 4.476 7.943 7.744 71.00 90.00 90.00
Fractional coordinates of all 8 atoms:
Ca: 0.000 0.000 0.000
Ca: 0.500 0.000 0.500
Ce: 0.500 0.500 0.000
Pr: 0.000 0.500 0.500
Te: 0.000 0.756 0.749
Te: 0.000 0.244 0.251
Te: 0.500 0.757 0.247
Te: 0.500 0.243 0.753

Computed properties:
As for the theoretical density: 5.56 g cm⁻³. The space group is P2/m (10). The total energy comes out at -4.90 eV/atom. Its raw formation energy is -1493 meV/atom.